[1]
SrTiGeRh2 after structural relaxation, computed with PBE.

a = 4.792 Å, b = 4.792 Å, c = 5.417 Å
α = 90.00°, β = 90.00°, γ = 90.00°
Space group P4/mmm (No. 123)
Inequivalent atoms, fractional coordinates:
1 Sr 0.000 0.000 0.000 [1 per cell]
2 Ti 0.500 0.500 0.500 [1 per cell]
3 Ge 0.000 0.000 0.500 [1 per cell]
4 Rh 0.000 0.500 0.000 [2 per cell]

Summary:
crystal system = tetragonal

=====

[2]
Sr2TlGeRh after structural relaxation, computed with PBE.

a = 5.812 Å, b = 5.812 Å, c = 4.750 Å
α = 90.00°, β = 90.00°, γ = 90.00°
Space group P4/mmm (No. 123)
Inequivalent atoms, fractional coordinates:
1 Sr 0.000 0.500 0.000 [2 per cell]
2 Tl 0.000 0.000 0.500 [1 per cell]
3 Ge 0.500 0.500 0.500 [1 per cell]
4 Rh 0.500 0.500 0.000 [1 per cell]

Summary:
crystal system = tetragonal

=====

[3]
SrTl2GeRh after structural relaxation, computed with PBE.

a = 5.222 Å, b = 5.222 Å, c = 5.654 Å
α = 90.00°, β = 90.00°, γ = 90.00°
Space group P4/mmm (No. 123)
Inequivalent atoms, fractional coordinates:
1 Sr 0.000 0.000 0.000 [1 per cell]
2 Tl 0.000 0.500 0.500 [2 per cell]
3 Ge 0.500 0.500 0.000 [1 per cell]
4 Rh 0.000 0.000 0.500 [1 per cell]

Summary:
crystal system = tetragonal

=====

Number 1: DOS(E_F) 0.986 states/eV per atom, formation enthalpy at 0 K 1.643 eV per atom. Number 2: DOS(E_F) 0.854 states/eV per atom, formation enthalpy at 0 K -0.353 eV per atom. Number 3: DOS(E_F) 0.961 states/eV per atom, formation enthalpy at 0 K 0.089 eV per atom.